## w
The following is a DFT calculation (PBE) of a relaxed NaBe3Tl crystal.

Calculated values
Crystal system = cubic
DOS at the Fermi energy = 1.7 states/eV per cell
Space group = Pm-3m

a b c (Å): 4.647 4.647 4.647
angles (deg): 90.00 90.00 90.00
Atoms (fractional coordinates):
Be (0.000, 0.500, 0.000)
Be (0.000, 0.000, 0.500)
Tl (0.000, 0.000, 0.000)
Be (0.500, 0.000, 0.000)
Na (0.500, 0.500, 0.500)



## x
The following is a DFT calculation (PBE) of a relaxed NaBe3Tl crystal.

Calculated values
Crystal system = cubic
DOS at the Fermi energy = 2.7 states/eV per cell
Space group = Pm-3m

a b c (Å): 4.733 4.733 4.733
angles (deg): 90.00 90.00 90.00
Atoms (fractional coordinates):
Be (0.000, 0.500, 0.000)
Be (0.500, 0.000, 0.000)
Na (0.000, 0.000, 0.000)
Tl (0.500, 0.500, 0.500)
Be (0.000, 0.000, 0.500)



It is x that is the least stable of them.



## w
The following is a DFT calculation (PBE) of a relaxed NaBeTl2 crystal.

Calculated values
Crystal system = cubic
DOS at the Fermi energy = 2.9 states/eV per cell
Space group = Fm-3m

a b c (Å): 5.034 5.034 5.034
angles (deg): 60.00 60.00 60.00
Atoms (fractional coordinates):
Tl (0.250, 0.250, 0.250)
Be (0.000, 0.000, 0.000)
Tl (0.750, 0.750, 0.750)
Na (0.500, 0.500, 0.500)



## x
The following is a DFT calculation (PBE) of a relaxed NaBeTl2 crystal.

Calculated values
Crystal system = tetragonal
DOS at the Fermi energy = 5.3 states/eV per cell
Space group = I-42d

a b c (Å): 5.856 5.856 8.516
angles (deg): 69.89 69.89 90.00
Atoms (fractional coordinates):
Tl (0.375, 0.522, 0.750)
Na (0.750, 0.250, 0.500)
Be (0.500, 0.500, 0.000)
Na (0.000, 0.000, 0.000)
Be (0.250, 0.750, 0.500)
Tl (0.478, 0.125, 0.250)
Tl (0.875, 0.728, 0.750)
Tl (0.272, 0.625, 0.250)



It is x that is the least stable of them.



## w
The following is a DFT calculation (PBE) of a relaxed Na3BeTl crystal.

Calculated values
Crystal system = cubic
DOS at the Fermi energy = 3.0 states/eV per cell
Space group = Pm-3m

a b c (Å): 5.866 5.866 5.866
angles (deg): 90.00 90.00 90.00
Atoms (fractional coordinates):
Be (0.500, 0.500, 0.500)
Tl (0.000, 0.000, 0.000)
Na (0.500, 0.000, 0.000)
Na (0.000, 0.500, 0.000)
Na (0.000, 0.000, 0.500)



## x
The following is a DFT calculation (PBE) of a relaxed Na3BeTl crystal.

Calculated values
Crystal system = cubic
DOS at the Fermi energy = 2.9 states/eV per cell
Space group = Pm-3m

a b c (Å): 5.410 5.410 5.410
angles (deg): 90.00 90.00 90.00
Atoms (fractional coordinates):
Tl (0.500, 0.500, 0.500)
Na (0.500, 0.000, 0.000)
Be (0.000, 0.000, 0.000)
Na (0.000, 0.500, 0.000)
Na (0.000, 0.000, 0.500)



It is w that is the least stable of them.